1.
ScAl4Se: relaxed, PBE.

## Properties
- uncorrected energy (eV/atom) = -4.2857
- uncorrected formation energy (meV per atom) = -154.6
- D(E_F) (states/eV/atom) = 0.557

a = 5.3907 Å, b = 5.3907 Å, c = 5.3907 Å
α = 60.00°, β = 60.00°, γ = 60.00°
With the nearest neighbours (Å) after each atom.
Atoms (fractional coordinates):
Sc 0.7500 0.7500 0.7500  12 Al 3.16, 4 Se 3.30
Al 0.3766 0.3766 0.3766  6 Al 2.66-2.73
Al 0.8703 0.3766 0.3766  6 Al 2.66-2.73
Al 0.3766 0.8703 0.3766  6 Al 2.66-2.73
Al 0.3766 0.3766 0.8703  6 Al 2.66-2.73
Se 0.0000 0.0000 0.0000  12 Al 3.16, 4 Sc 3.30

***

2.
Sc2AlSe: relaxed, PBE.

## Properties
- uncorrected energy (eV/atom) = -5.8957
- uncorrected formation energy (meV per atom) = -923.2
- energy above the most stable polymorph in this dataset (kJ per mole of atoms) = 0.0
- D(E_F) (states/eV/atom) = 0.501

a = 3.6286 Å, b = 3.6286 Å, c = 7.7161 Å
α = 76.48°, β = 76.48°, γ = 59.88°
With the nearest neighbours (Å) after each atom.
Atoms (fractional coordinates):
Sc 0.4934 0.4934 0.5186  3 Se 2.71, 3 Al 2.89
Sc 0.0066 0.0066 0.9814  3 Se 2.71, 3 Al 2.89
Al 0.2500 0.2500 0.2500  6 Sc 2.89
Se 0.7500 0.7500 0.7500  6 Sc 2.71

***

Among the records above, which one has the lowest D(E_F)?
Sc2AlSe